PmPaTcAg: optimized geometry, PBE.

Lattice parameters (Å, degrees): 7.1186 7.1186 7.1186 90.00 90.00 90.00
Space group F-43m (No. 216)
Asymmetric unit:
Pm1 0.0000 0.0000 0.0000 x4
Pa1 0.0000 0.0000 0.5000 x4
Tc1 0.2500 0.2500 0.7500 x4
Ag1 0.2500 0.2500 0.2500 x4

- spin magnetization (μB/cell) = 0.01
- energy relative to the elements (eV per atom) = 0.102